Record 1
Density functional theory data (meta-GGA SCAN) for a crystal of OsPtBr relaxed with PBEsol.

Properties
Formation energy without anion corrections = 1.14 eV per atom
N(E_F) = 1.110 states/eV/atom
Offset from the most stable computed form = 179 meV per atom
Energy = -3.8738 Ry/atom

Cell lengths 6.061, 6.061, 6.061 Å; angles 90.00, 90.00, 90.00 degrees
Space group F-43m (No. 216)
Asymmetric unit:
Os (0.000, 0.000, 0.000) [4 per cell]
Pt (0.250, 0.250, 0.250) [4 per cell]
Br (0.250, 0.250, 0.750) [4 per cell]

***

Record 2
Density functional theory data (meta-GGA SCAN) for a crystal of OsPtBr2 relaxed with PBEsol.

Properties
Formation energy without anion corrections = 0.81 eV per atom
N(E_F) = 0.777 states/eV/atom
Energy = -3.2661 Ry/atom

Cell lengths 2.857, 5.373, 9.868 Å; angles 90.00, 90.00, 90.00 degrees
Space group Cmm2 (No. 35)
Asymmetric unit:
Os (0.000, 0.000, 0.000) [2 per cell]
Pt (0.000, 0.500, 0.220) [2 per cell]
Br (0.000, 0.000, 0.457) [2 per cell]
Br (0.000, 0.500, 0.792) [2 per cell]

***

Record 3
Density functional theory data (meta-GGA SCAN) for a crystal of SnOs2PtBr relaxed with PBEsol.

Properties
Formation energy without anion corrections = 2.42 eV per atom
N(E_F) = 0.842 states/eV/atom
Energy = -3.7814 Ry/atom

Cell lengths 4.470, 4.470, 5.208 Å; angles 90.00, 90.00, 90.00 degrees
Space group P4/mmm (No. 123)
Asymmetric unit:
Sn (0.000, 0.000, 0.000) [1 per cell]
Os (0.000, 0.500, 0.500) [2 per cell]
Pt (0.500, 0.500, 0.000) [1 per cell]
Br (0.000, 0.000, 0.500) [1 per cell]

***

Record 4
Density functional theory data (meta-GGA SCAN) for a crystal of Rb3Os2Br9 relaxed with PBEsol.

Properties
Formation energy without anion corrections = -0.95 eV per atom
Energy = -2.0704 Ry/atom

Cell lengths 7.3593, 7.3593, 17.9912 Å; angles 90.00, 90.00, 120.00 degrees
Space group P6_3/mmc (No. 194)
Asymmetric unit:
Rb (0.0000, 0.0000, 0.2500) [2 per cell]
Rb (0.3333, 0.6667, 0.0643) [4 per cell]
Os (0.3333, 0.6667, 0.6753) [4 per cell]
Br (0.9999, 0.5000, 0.2500) [6 per cell]
Br (0.1749, 0.3498, 0.5944) [12 per cell]

***

Record 5
Density functional theory data (meta-GGA SCAN) for a crystal of ReOs2Br relaxed with PBEsol.

Properties
Formation energy without anion corrections = 1.19 eV per atom
N(E_F) = 0.924 states/eV/atom
Offset from the most stable computed form = 123 meV per atom
Energy = -4.2177 Ry/atom

Cell lengths 2.762, 4.793, 9.621 Å; angles 90.00, 90.00, 90.00 degrees
Space group Cmm2 (No. 35)
Asymmetric unit:
Re (0.000, 0.000, 0.000) [2 per cell]
Os (0.000, 0.000, 0.540) [2 per cell]
Os (0.000, 0.500, 0.771) [2 per cell]
Br (0.000, 0.500, 0.271) [2 per cell]

***

Record 6
Density functional theory data (meta-GGA SCAN) for a crystal of ReOsBr2 relaxed with PBEsol.

Properties
Formation energy without anion corrections = 0.35 eV per atom
N(E_F) = 0.702 states/eV/atom
Offset from the most stable computed form = 0 meV per atom
Energy = -3.3168 Ry/atom

Cell lengths 3.059, 3.019, 8.608 Å; angles 90.00, 90.12, 90.00 degrees
Space group Pm (No. 6)
Asymmetric unit:
Re (0.000, 0.000, 0.000) [1 per cell]
Os (0.499, 0.500, 0.832) [1 per cell]
Br (0.002, 0.500, 0.235) [1 per cell]
Br (0.498, 0.000, 0.590) [1 per cell]

***

Record 7
Density functional theory data (meta-GGA SCAN) for a crystal of ReOsBr2 relaxed with PBEsol.

Properties
Formation energy without anion corrections = 1.69 eV per atom
N(E_F) = 0.967 states/eV/atom
Offset from the most stable computed form = 1338 meV per atom
Energy = -3.2184 Ry/atom

Cell lengths 3.012, 4.456, 5.030 Å; angles 90.00, 93.12, 90.00 degrees
Space group P2/m (No. 10)
Asymmetric unit:
Re (0.000, 0.000, 0.000) [1 per cell]
Os (0.500, 0.000, 0.500) [1 per cell]
Br (0.239, 0.500, 0.251) [2 per cell]

***

Record 8
Density functional theory data (meta-GGA SCAN) for a crystal of ReOs2Br relaxed with PBEsol.

Properties
Formation energy without anion corrections = 1.12 eV per atom
N(E_F) = 0.670 states/eV/atom
Offset from the most stable computed form = 52 meV per atom
Energy = -4.2230 Ry/atom

Cell lengths 9.845, 2.828, 4.424 Å; angles 90.00, 93.07, 90.00 degrees
Space group Cm (No. 8)
Asymmetric unit:
Re (0.000, 0.000, 0.000) [2 per cell]
Os (0.062, 0.500, 0.540) [2 per cell]
Os (0.286, 0.000, 0.763) [2 per cell]
Br (0.280, 0.500, 0.271) [2 per cell]

***

Record 9
Density functional theory data (meta-GGA SCAN) for a crystal of ReOs2Br relaxed with PBEsol.

Properties
Formation energy without anion corrections = 1.38 eV per atom
N(E_F) = 0.787 states/eV/atom
Offset from the most stable computed form = 312 meV per atom
Energy = -4.2039 Ry/atom

Cell lengths 2.866, 4.538, 9.111 Å; angles 90.00, 90.00, 90.00 degrees
Space group Imm2 (No. 44)
Asymmetric unit:
Re (0.000, 0.000, 0.000) [2 per cell]
Os (0.000, 0.000, 0.528) [2 per cell]
Os (0.000, 0.500, 0.759) [2 per cell]
Br (0.000, 0.500, 0.266) [2 per cell]

***

Record 10
Density functional theory data (meta-GGA SCAN) for a crystal of ReOs2Br relaxed with PBEsol.

Properties
Formation energy without anion corrections = 1.07 eV per atom
N(E_F) = 0.897 states/eV/atom
Offset from the most stable computed form = 0 meV per atom
Energy = -4.2268 Ry/atom

Cell lengths 2.786, 4.725, 9.796 Å; angles 90.00, 90.00, 90.00 degrees
Space group Cmmm (No. 65)
Asymmetric unit:
Re (0.000, 0.000, 0.000) [2 per cell]
Os (0.000, 0.500, 0.224) [4 per cell]
Br (0.000, 0.000, 0.500) [2 per cell]